(1)
Zn2NiBr | PBEsol | optimized geometry

Computed properties:
Fermi-level density of states   0.420 states/eV/atom
Formation energy from raw total energies   0.2079 eV/atom
Final energy   -2.5900 eV per atom

a b c (Å): 2.9288 3.9723 11.0423
angles (deg): 90.00 90.00 90.00
Space group Immm (No. 71)
One atom of each set of equivalent atoms:
1 Zn 0.0000 0.0000 0.2038 [4 per cell]
2 Ni 0.0000 0.5000 0.5000 [2 per cell]
3 Br 0.0000 0.5000 0.0000 [2 per cell]

(2)
Zn2NiBr | PBEsol | optimized geometry

Computed properties:
Fermi-level density of states   0.405 states/eV/atom
Formation energy from raw total energies   0.1139 eV/atom
Final energy   -2.6839 eV per atom

a b c (Å): 3.3244 3.3244 6.4603
angles (deg): 90.00 90.00 90.00
Space group P4mm (No. 99)
One atom of each set of equivalent atoms:
1 Zn 0.0000 0.0000 0.0000 [1 per cell]
2 Zn 0.5000 0.5000 0.2838 [1 per cell]
3 Ni 0.5000 0.5000 0.9303 [1 per cell]
4 Br 0.0000 0.0000 0.5009 [1 per cell]

(3)
Zn2NiBr | PBEsol | optimized geometry

Computed properties:
Fermi-level density of states   1.157 states/eV/atom
Formation energy from raw total energies   0.5008 eV/atom
Final energy   -2.2970 eV per atom

a b c (Å): 6.3451 6.3451 6.3451
angles (deg): 90.00 90.00 90.00
Space group F-43m (No. 216)
One atom of each set of equivalent atoms:
1 Zn 0.0000 0.0000 0.0000 [4 per cell]
2 Zn 0.2500 0.2500 0.2500 [4 per cell]
3 Ni 0.0000 0.0000 0.5000 [4 per cell]
4 Br 0.2500 0.2500 0.7500 [4 per cell]

(4)
ZrNiBr | PBEsol | optimized geometry

Computed properties:
Fermi-level density of states   0.871 states/eV/atom
Formation energy from raw total energies   -0.2397 eV/atom
Final energy   -5.9454 eV per atom

a b c (Å): 3.2150 3.2150 9.9415
angles (deg): 90.00 90.00 90.00
Space group I4mm (No. 107)
One atom of each set of equivalent atoms:
1 Zr 0.0000 0.0000 0.0000 [2 per cell]
2 Ni 0.0000 0.0000 0.6425 [2 per cell]
3 Br 0.0000 0.0000 0.3153 [2 per cell]

(5)
NpBr3 | PBEsol | optimized geometry

Computed properties:
Fermi-level density of states   1.917 states/eV/atom
Formation energy from raw total energies   -1.1714 eV/atom
Final energy   -6.0360 eV per atom

a b c (Å): 3.9344 13.1293 8.9443
angles (deg): 90.00 90.00 90.00
Space group Cmcm (No. 63)
One atom of each set of equivalent atoms:
1 Np 0.0000 0.2375 0.2500 [4 per cell]
2 Br 0.0000 0.1495 0.5665 [8 per cell]
3 Br 0.0000 0.4181 0.7500 [4 per cell]

(6)
P3Pb5BrO12 | PBEsol | optimized geometry

Computed properties:
Fermi-level density of states   0.000 states/eV/atom
Formation energy from raw total energies   -1.8430 eV/atom
Final energy   -6.7111 eV per atom

a b c (Å): 10.0783 10.0783 7.2758
angles (deg): 90.00 90.00 120.00
Space group P6_3/m (No. 176)
One atom of each set of equivalent atoms:
1 P 0.0366 0.6250 0.2500 [6 per cell]
2 Pb 0.0094 0.2609 0.2500 [6 per cell]
3 Pb 0.3333 0.6667 0.5051 [4 per cell]
4 Br 0.0000 0.0000 0.0000 [2 per cell]
5 O 0.0932 0.7304 0.0777 [12 per cell]
6 O 0.1240 0.5318 0.2500 [6 per cell]
7 O 0.1381 0.4851 0.7500 [6 per cell]